Record 1
Computed, not measured: crystalline KCdNO2 at its relaxed geometry at the PBE-GGA level of DFT.

Space-group type: P4/mmm
M_tot (μB/f.u.): 3.73
Energy relative to the elements, uncorrected (eV/f.u.): 1.76

abc: 4.4171 4.4171 4.5134
angles: 90.00 90.00 90.00
Closest atoms and distances in Å follow each position.
Atoms (fractional coordinates):
O: 0.5000 0.0000 0.0000  2 Cd 2.21
O: 0.0000 0.5000 0.0000  2 Cd 2.21
Cd: 0.0000 0.0000 0.0000  4 O 2.21, 2 N 2.26
N: 0.0000 0.0000 0.5000  2 Cd 2.26
K: 0.5000 0.5000 0.5000  4 N 3.12, 8 O 3.16

Record 2
Computed, not measured: crystalline KPa4CdN8 at its relaxed geometry at the PBE-GGA level of DFT.

Space-group type: R3m
M_tot (μB/f.u.): 0.00
Energy relative to the elements, uncorrected (eV/f.u.): -13.66

abc: 7.1820 7.1820 6.8427
angles: 58.35 58.35 60.00
Closest atoms and distances in Å follow each position.
Atoms (fractional coordinates):
N: 0.8202 0.2418 0.6963  2 Pa 2.16, 1 Cd 2.40
N: 0.2356 0.7425 0.2794  3 Pa 2.22-2.42
N: 0.2418 0.2418 0.6963  2 Pa 2.16, 1 Cd 2.40
Pa: 0.0047 0.4882 0.5025  5 N 2.16-2.42
K: 0.3811 0.3811 0.8566  4 N 2.52-2.55
Pa: 0.6175 0.6175 0.1476  4 N 2.20-2.22
N: 0.7425 0.2356 0.2794  3 Pa 2.22-2.42
N: 0.2269 0.2269 0.3194  3 Pa 2.24
N: 0.2418 0.8202 0.6963  2 Pa 2.16, 1 Cd 2.40
Pa: 0.4882 0.0047 0.5025  5 N 2.16-2.42
Pa: 0.0047 0.0047 0.5025  5 N 2.16-2.42
Cd: 0.0004 0.0004 0.9987  6 N 2.40-2.55
N: 0.7523 0.7523 0.7430  1 Pa 2.20
N: 0.7425 0.7425 0.2794  3 Pa 2.22-2.42

> Which of these has the lowest energy relative to the elements, uncorrected?

KPa4CdN8